This record from the Alexandria database describes LaTcBr2 after structural relaxation. The functional is PBE-GGA.

Geometry as POSCAR:
```
LaTcBr2
1.0
4.241 0.000 0.000
0.000 4.804 -0.008
0.000 0.837 4.729
Tc Br La
1 2 1
direct
0.500 0.750 0.750
0.000 0.956 0.956
0.000 0.544 0.544
0.500 0.250 0.250
```

Results
- excess energy over the best structure of this formula in the dataset (meV/atom) = 282
- formation energy from raw total energies (eV/atom) = -0.279
- total moment (μB/cell) = 0.00
- E (eV per atom) = -4.94
- SG = No. 65